Entry 1:
A relaxed structure of TlMoP. Source: Alexandria via LeMat-Bulk, functional PBE.

Properties
* density of states at the Fermi level: 1.3 states/eV per cell
* formation enthalpy at 0 K: 0.323 eV/f.u.

a b c (Å): 3.1856 3.1856 6.5213
angles (deg): 90.00 90.00 120.00
Space group P3m1 (No. 156)
One atom of each set of equivalent atoms:
Tl: 0.0000 0.0000 0.0000
Mo: 0.6667 0.3333 0.3723
P: 0.3333 0.6667 0.6077


Entry 2:
A relaxed structure of LaTm2Bi. Source: Alexandria via LeMat-Bulk, functional PBE.

Properties
* density of states at the Fermi level: 7.9 states/eV per cell
* formation enthalpy at 0 K: 0.154 eV/f.u.

a b c (Å): 3.5568 3.5568 36.0742
angles (deg): 90.00 90.00 120.00
Space group R-3m (No. 166, hexagonal axes)
One atom of each set of equivalent atoms:
La: 0.0000 0.0000 0.0000
Tm: 0.0000 0.0000 0.4132
Bi: 0.0000 0.0000 0.5000


Entry 3:
A relaxed structure of InTeSCl2. Source: Alexandria via LeMat-Bulk, functional PBE.

Properties
* density of states at the Fermi level: 2.6 states/eV per cell
* formation energy (no corrections): -65 meV per atom

a b c (Å): 5.033 5.033 5.379
angles (deg): 90.00 90.00 90.00
Space group P4/mmm (No. 123)
One atom of each set of equivalent atoms:
In: 0.000 0.000 0.000
Te: 0.500 0.500 0.500
S: 0.000 0.000 0.500
Cl: 0.000 0.500 0.000


Entry 4:
A relaxed structure of Sr8Ge3I4Cl. Source: Alexandria via LeMat-Bulk, functional PBE.

Properties
* density of states at the Fermi level: 20.6 states/eV per cell
* formation energy (no corrections): -1153 meV per atom

a b c (Å): 9.2626 9.2626 24.3055
angles (deg): 90.00 90.00 120.00
Space group R-3m (No. 166, hexagonal axes)
One atom of each set of equivalent atoms:
Sr: 0.0000 0.0000 0.2354
Sr: 0.0160 0.5080 0.7656
Ge: 0.0000 0.5000 0.5000
I: 0.0000 0.0000 0.0000
I: 0.0000 0.5000 0.0000
Cl: 0.0000 0.0000 0.5000


Entry 5:
A relaxed structure of HfU2PaN4. Source: Alexandria via LeMat-Bulk, functional PBE.

Properties
* density of states at the Fermi level: 11.0 states/eV per cell
* formation energy (no corrections): -1505 meV per atom

a b c (Å): 5.870 3.374 5.926
angles (deg): 90.00 108.75 90.00
Space group P2/m (No. 10)
One atom of each set of equivalent atoms:
Hf: 0.000 0.000 0.000
U: 0.500 0.000 0.500
U: 0.500 0.500 0.000
Pa: 0.000 0.500 0.500
N: 0.234 0.500 0.227
N: 0.242 0.000 0.768


Entry 6:
A relaxed structure of CaNdLuIn. Source: Alexandria via LeMat-Bulk, functional PBE.

Properties
* density of states at the Fermi level: 13.5 states/eV per cell
* formation enthalpy at 0 K: -0.513 eV/f.u.

a b c (Å): 7.809 7.809 7.809
angles (deg): 90.00 90.00 90.00
Space group F-43m (No. 216)
One atom of each set of equivalent atoms:
Ca: 0.000 0.000 0.000
Nd: 0.250 0.250 0.250
Lu: 0.250 0.250 0.750
In: 0.000 0.000 0.500


Entry 7:
A relaxed structure of CsOsW3. Source: Alexandria via LeMat-Bulk, functional PBE.

Properties
* density of states at the Fermi level: 4.9 states/eV per cell
* formation enthalpy at 0 K: 11.405 eV/f.u.

a b c (Å): 4.947 4.947 4.947
angles (deg): 90.00 90.00 90.00
Space group Pm-3m (No. 221)
One atom of each set of equivalent atoms:
Cs: 0.000 0.000 0.000
Os: 0.500 0.500 0.500
W: 0.000 0.500 0.500


Entry 8:
A relaxed structure of Ca3Ga3Ge2. Source: Alexandria via LeMat-Bulk, functional PBE.

Properties
* density of states at the Fermi level: 8.9 states/eV per cell
* formation enthalpy at 0 K: -4.149 eV/f.u.

a b c (Å): 4.117 11.538 16.106
angles (deg): 90.00 90.00 90.00
Space group Cmcm (No. 63)
One atom of each set of equivalent atoms:
Ca: 0.000 0.062 0.250
Ca: 0.000 0.350 0.090
Ga: 0.000 0.060 0.062
Ga: 0.000 0.207 0.750
Ge: 0.000 0.346 0.618


Entry 9:
A relaxed structure of P4Pb. Source: Alexandria via LeMat-Bulk, functional PBE.

Properties
* density of states at the Fermi level: 6.1 states/eV per cell
* formation enthalpy at 0 K: 9.282 eV/f.u.

a b c (Å): 5.160 5.160 5.160
angles (deg): 90.00 90.00 90.00
Space group Pm-3m (No. 221)
One atom of each set of equivalent atoms:
P: 0.000 0.000 0.000
P: 0.000 0.500 0.500
Pb: 0.500 0.500 0.500


Entry 10:
A relaxed structure of Sn2Bi2Pt. Source: Alexandria via LeMat-Bulk, functional PBE.

Properties
* density of states at the Fermi level: 5.2 states/eV per cell
* formation enthalpy at 0 K: 0.697 eV/f.u.

a b c (Å): 7.397 7.397 5.242
angles (deg): 90.00 90.00 90.00
Space group P4/mbm (No. 127)
One atom of each set of equivalent atoms:
Sn: 0.167 0.333 0.000
Bi: 0.154 0.654 0.500
Pt: 0.000 0.000 0.500


Entry 11:
A relaxed structure of La3Pm3Ho5. Source: Alexandria via LeMat-Bulk, functional PBE.

Properties
* density of states at the Fermi level: 15.2 states/eV per cell
* formation enthalpy at 0 K: 8.147 eV/f.u.

a b c (Å): 9.6903 9.6903 5.4341
angles (deg): 90.00 90.00 120.00
Space group P-62m (No. 189)
One atom of each set of equivalent atoms:
La: 0.0000 0.3592 0.0000
Pm: 0.0000 0.5072 0.5000
Ho: 0.0000 0.7191 0.0000
Ho: 0.3333 0.6667 0.0000


Entry 12:
A relaxed structure of CoAs2W. Source: Alexandria via LeMat-Bulk, functional PBE.

Properties
* density of states at the Fermi level: 18.8 states/eV per cell
* formation enthalpy at 0 K: 2.500 eV/f.u.

a b c (Å): 6.232 6.232 6.232
angles (deg): 90.00 90.00 90.00
Space group F-43m (No. 216)
One atom of each set of equivalent atoms:
Co: 0.000 0.000 0.000
As: 0.000 0.000 0.500
As: 0.250 0.250 0.750
W: 0.250 0.250 0.250